VASP calculation (PBE) on a relaxed structure of LiCu2Bi.

Cell: 6.4118 6.4118 6.4118 Å, 90.00 90.00 90.00°
With the nearest neighbours (Å) after each atom.
Space group Pm-3m (No. 221)
One atom of each set of equivalent atoms:
Li 0.0000 0.0000 0.0000 (multiplicity 1)  8 Cu 2.37
Li 0.0000 0.0000 0.5000 (multiplicity 3)  8 Cu 2.67
Cu 0.2137 0.2137 0.2137 (multiplicity 8)  1 Li 2.37
Bi 0.0000 0.5000 0.5000 (multiplicity 3)  8 Cu 2.94, 4 Li 3.21, 2 Bi 3.21
Bi 0.5000 0.5000 0.5000 (multiplicity 1)  8 Cu 3.18, 6 Bi 3.21

Results
* calculated volume: 263.6 Å³ per cell
* E: -3.291 eV/atom